# 1
# KYTe3 | the Alexandria database | PBE | optimized geometry
# **Energy relative to the lowest polymorph listed for this composition**: 0.0 meV/atom
# **Energy relative to the elements, uncorrected**: -0.80 eV per atom
data_KYTe3
_chemical_formula_sum 'K1 Y1 Te3'
_cell_length_a 5.945
_cell_length_b 5.945
_cell_length_c 5.945
_cell_angle_alpha 90.00
_cell_angle_beta 90.00
_cell_angle_gamma 90.00
_symmetry_space_group_name_H-M 'P m -3 m'
_symmetry_Int_Tables_number 221
_symmetry_space_group_name_Hall '-P 4 2 3'
loop_
_atom_site_label
_atom_site_fract_x
_atom_site_fract_y
_atom_site_fract_z
K1 0.000 0.000 0.000
Y1 0.500 0.500 0.500
Te1 0.000 0.500 0.500

=====

# 2
# Al4VGa | the Alexandria database | PBE | optimized geometry
# **Energy relative to the lowest polymorph listed for this composition**: 666.6 meV/atom
data_Al4VGa
_chemical_formula_sum 'Al16 V4 Ga4'
_cell_length_a 5.294
_cell_length_b 5.294
_cell_length_c 18.097
_cell_angle_alpha 90.00
_cell_angle_beta 90.00
_cell_angle_gamma 90.00
_symmetry_space_group_name_H-M 'I 41/a m d'
_symmetry_Int_Tables_number 141
loop_
_symmetry_equiv_pos_as_xyz
'x,y,z'
'-x,-y,-z'
'-y+1/4,x+3/4,z+1/4'
'y+1/4,-x+3/4,-z+1/4'
'-x+1/2,-y,z+1/2'
'x+1/2,y,-z+1/2'
'y+1/4,-x+1/4,z+3/4'
'-y+1/4,x+1/4,-z+3/4'
'x,-y,-z'
'-x,y,z'
'-y+1/4,-x+1/4,-z+3/4'
'y+1/4,x+1/4,z+3/4'
'-x+1/2,y,-z+1/2'
'x+1/2,-y,z+1/2'
'y+1/4,x+3/4,-z+1/4'
'-y+1/4,-x+3/4,z+1/4'
'x+1/2,y+1/2,z+1/2'
'-x+1/2,-y+1/2,-z+1/2'
'-y+3/4,x+1/4,z+3/4'
'y+3/4,-x+1/4,-z+3/4'
'-x,-y+1/2,z'
'x,y+1/2,-z'
'y+3/4,-x+3/4,z+1/4'
'-y+3/4,x+3/4,-z+1/4'
'x+1/2,-y+1/2,-z+1/2'
'-x+1/2,y+1/2,z+1/2'
'-y+3/4,-x+3/4,-z+1/4'
'y+3/4,x+3/4,z+1/4'
'-x,y+1/2,-z'
'x,-y+1/2,z'
'y+3/4,x+1/4,-z+3/4'
'-y+3/4,-x+1/4,z+3/4'
loop_
_atom_site_label
_atom_site_fract_x
_atom_site_fract_y
_atom_site_fract_z
Al1 0.000 0.005 0.244
V1 0.000 0.250 0.375
Ga1 0.000 0.250 0.875

=====

# 3
# CaYAs2Se | the Alexandria database | PBE | optimized geometry
# **Energy relative to the lowest polymorph listed for this composition**: 415.2 meV/atom
# **Energy relative to the elements, uncorrected**: -0.09 eV per atom
data_CaYAs2Se
_chemical_formula_sum 'Ca1 Y1 As2 Se1'
_cell_length_a 5.205
_cell_length_b 5.205
_cell_length_c 5.264
_cell_angle_alpha 90.00
_cell_angle_beta 90.00
_cell_angle_gamma 90.00
_symmetry_space_group_name_H-M 'P 4/m m m'
_symmetry_Int_Tables_number 123
_symmetry_space_group_name_Hall '-P 4 2'
loop_
_atom_site_label
_atom_site_fract_x
_atom_site_fract_y
_atom_site_fract_z
Ca1 0.000 0.000 0.000
Y1 0.500 0.500 0.500
As1 0.000 0.500 0.000
Se1 0.000 0.000 0.500

=====

# 4
# EuGdSc2 | the Alexandria database | PBE | optimized geometry
# **Energy relative to the lowest polymorph listed for this composition**: 0.0 meV/atom
data_EuGdSc2
_chemical_formula_sum 'Eu1 Gd1 Sc2'
_cell_length_a 5.028
_cell_length_b 5.028
_cell_length_c 4.617
_cell_angle_alpha 90.00
_cell_angle_beta 90.00
_cell_angle_gamma 90.00
_symmetry_space_group_name_H-M 'P 4/m m m'
_symmetry_Int_Tables_number 123
_symmetry_space_group_name_Hall '-P 4 2'
loop_
_atom_site_label
_atom_site_fract_x
_atom_site_fract_y
_atom_site_fract_z
Eu1 0.000 0.000 0.000
Gd1 0.500 0.500 0.000
Sc1 0.000 0.500 0.500

=====

# 5
# Dy7HgSe5 | the Alexandria database | PBE | optimized geometry
# **Energy relative to the elements, uncorrected**: -1.44 eV per atom
data_Dy7HgSe5
_chemical_formula_sum 'Dy28 Hg4 Se20'
_cell_length_a 4.053
_cell_length_b 13.388
_cell_length_c 24.330
_cell_angle_alpha 90.00
_cell_angle_beta 90.00
_cell_angle_gamma 90.00
_symmetry_space_group_name_H-M 'C m c m'
_symmetry_Int_Tables_number 63
_symmetry_space_group_name_Hall '-C 2c 2'
loop_
_atom_site_label
_atom_site_fract_x
_atom_site_fract_y
_atom_site_fract_z
Dy1 0.000 0.024 0.250
Dy2 0.000 0.138 0.536
Dy3 0.000 0.315 0.178
Dy4 0.000 0.408 0.612
Hg1 0.000 0.303 0.750
Se1 0.000 0.049 0.641
Se2 0.000 0.225 0.071
Se3 0.000 0.500 0.000

=====

# 6
# K2LiPaTe4 | the Alexandria database | PBE | optimized geometry
# **Energy relative to the elements, uncorrected**: -0.98 eV per atom
data_K2LiPaTe4
_chemical_formula_sum 'K2 Li1 Pa1 Te4'
_cell_length_a 7.641
_cell_length_b 4.583
_cell_length_c 8.504
_cell_angle_alpha 90.00
_cell_angle_beta 107.66
_cell_angle_gamma 90.00
_symmetry_space_group_name_H-M 'P 1 2/m 1'
_symmetry_Int_Tables_number 10
_symmetry_space_group_name_Hall '-P 2y'
loop_
_atom_site_label
_atom_site_fract_x
_atom_site_fract_y
_atom_site_fract_z
K1 0.000 0.000 0.000
K2 0.500 0.500 0.000
Li1 0.000 0.500 0.500
Pa1 0.500 0.000 0.500
Te1 0.247 0.000 0.701
Te2 0.271 0.500 0.298

=====

Calculated values (eV per atom) of total energy for the records, taken in order: -4.20, -3.94, -4.34, -9.10, -5.28, -4.26.
Calculated values (μB/f.u.) of magnetic moment for the records, taken in order: 0.00, 2.68, 0.00, 0.31, 0.00, 0.00.